Here is Mg2ZrCo after structural relaxation from Alexandria via LeMat-Bulk. Energies are from PBE-GGA.

```
Mg2ZrCo
1.0
3.194 0.000 0.000
0.000 3.194 0.000
0.000 0.000 7.450
Mg Zr Co
2 1 1
Cartesian
0.000 0.000 0.000
1.597 1.597 2.158
0.000 0.000 4.464
1.597 1.597 5.806
```

As for the space group: P4mm, No. 99. As for the energy of formation: -7.4 kJ per mole of atoms.

Here is MgZrCo after structural relaxation from Alexandria via LeMat-Bulk. Energies are from PBE-GGA.

```
MgZrCo
1.0
4.456 0.000 0.000
-2.228 3.859 0.000
0.000 0.000 2.993
Mg Zr Co
1 1 1
Cartesian
0.000 0.000 0.000
0.000 2.573 1.371
2.228 1.286 2.288
```

As for the space group: P3m1, No. 156. For the energy above the most stable polymorph in this dataset, the calculation gives 87 kJ/mol of formula units. As for the energy of formation: 9.7 kJ per mole of atoms.

Here is Mg2ZrCo after structural relaxation from Alexandria via LeMat-Bulk. Energies are from PBE-GGA.

```
Mg2ZrCo
1.0
3.050 0.000 0.000
0.000 3.050 0.000
0.000 0.000 7.743
Mg Zr Co
2 1 1
Cartesian
0.000 0.000 1.508
0.000 0.000 6.235
1.525 1.525 3.871
1.525 1.525 0.000
```

As for the space group: P4/mmm, No. 123. As for the energy of formation: 15.9 kJ per mole of atoms.

Here is Mg2ZrCo after structural relaxation from Alexandria via LeMat-Bulk. Energies are from PBE-GGA.

```
Mg2ZrCo
1.0
3.871 0.000 0.000
0.000 3.871 0.000
0.000 0.000 4.767
Mg Zr Co
2 1 1
Cartesian
0.000 1.936 0.000
1.936 0.000 0.000
0.000 0.000 2.383
1.936 1.936 2.383
```

As for the space group: P4/mmm, No. 123. As for the energy of formation: 4.9 kJ per mole of atoms.

Here is MgZr2Co after structural relaxation from Alexandria via LeMat-Bulk. Energies are from PBE-GGA.

```
MgZr2Co
1.0
1.684 0.972 8.629
-1.684 0.972 8.629
0.000 -1.944 8.629
Mg Zr Co
1 2 1
Cartesian
0.000 0.000 0.000
0.000 0.000 5.943
0.000 0.000 11.318
0.000 0.000 21.574
```

As for the space group: R3m, No. 160. As for the energy of formation: 4.3 kJ per mole of atoms.

Here is MgZr2Co after structural relaxation from Alexandria via LeMat-Bulk. Energies are from PBE-GGA.

```
MgZr2Co
1.0
3.327 0.000 0.000
0.000 3.276 0.000
-0.547 0.000 7.035
Mg Zr Co
1 2 1
Cartesian
0.000 0.000 0.000
1.102 1.638 5.007
1.678 1.638 2.028
-0.274 0.000 3.517
```

As for the space group: P2/m, No. 10. As for the energy of formation: -6.4 kJ per mole of atoms.

Here is Mg2ZrCo after structural relaxation from Alexandria via LeMat-Bulk. Energies are from PBE-GGA.

```
Mg2ZrCo
1.0
-2.319 2.319 3.272
2.319 -2.319 3.272
2.319 2.319 -3.272
Mg Zr Co
2 1 1
Cartesian
0.000 0.000 0.000
0.000 2.319 1.636
0.000 0.000 3.272
2.319 0.000 1.636
```

As for the space group: I-4m2, No. 119. As for the energy of formation: 4.6 kJ per mole of atoms.

Here is MgZrCo after structural relaxation from Alexandria via LeMat-Bulk. Energies are from PBE-GGA.

```
MgZrCo
1.0
0.000 3.066 3.066
3.066 0.000 3.066
3.066 3.066 0.000
Mg Zr Co
1 1 1
Cartesian
0.000 0.000 0.000
3.066 3.066 3.066
4.599 4.599 4.599
```

As for the space group: F-43m, No. 216. For the energy above the most stable polymorph in this dataset, the calculation gives 91 kJ/mol of formula units. As for the energy of formation: 11.3 kJ per mole of atoms.

Here is Mg3ZrCo8 after structural relaxation from Alexandria via LeMat-Bulk. Energies are from PBE-GGA.

```
Mg3ZrCo8
1.0
4.840 0.000 0.000
-2.420 4.192 0.000
0.000 0.000 7.930
Mg Zr Co
3 1 8
Cartesian
0.000 0.000 0.000
0.000 0.000 2.908
0.000 2.795 7.012
0.000 2.795 4.033
-1.187 2.109 1.495
1.181 0.682 5.460
1.187 2.109 1.495
0.000 4.165 1.495
2.420 1.397 3.468
2.420 1.397 7.413
3.660 0.682 5.460
2.420 2.829 5.460
```

As for the space group: P3m1, No. 156. As for the energy of formation: -12.3 kJ per mole of atoms.

Here is Mg2ZrCo after structural relaxation from Alexandria via LeMat-Bulk. Energies are from PBE-GGA.

```
Mg2ZrCo
1.0
1.498 0.865 9.591
-1.498 0.865 9.591
0.000 -1.730 9.591
Mg Zr Co
2 1 1
Cartesian
0.000 0.000 6.819
0.000 0.000 21.953
0.000 0.000 0.000
0.000 0.000 14.386
```

As for the space group: R-3m, No. 166. As for the energy of formation: 22.1 kJ per mole of atoms.

Here is MgZrCo after structural relaxation from Alexandria via LeMat-Bulk. Energies are from PBE-GGA.

```
MgZrCo
1.0
3.274 0.000 0.000
0.000 3.937 0.000
-1.601 0.000 8.706
Mg Zr Co
2 2 2
Cartesian
0.000 0.000 0.000
0.024 1.968 6.958
1.652 1.968 2.108
1.657 0.000 4.847
0.016 0.000 2.611
0.018 1.968 4.345
```

As for the space group: Pm, No. 6. For the energy above the most stable polymorph in this dataset, the calculation gives 0 kJ/mol of formula units. As for the energy of formation: -19.2 kJ per mole of atoms.

Here is MgZr2Co3 after structural relaxation from Alexandria via LeMat-Bulk. Energies are from PBE-GGA.

```
MgZr2Co3
1.0
3.161 0.000 0.000
0.000 3.161 0.000
0.000 0.000 9.400
Mg Zr Co
1 2 3
Cartesian
0.000 0.000 0.000
0.000 0.000 3.053
0.000 0.000 6.347
1.581 1.581 1.623
1.581 1.581 4.700
1.581 1.581 7.777
```

As for the space group: P4/mmm, No. 123. As for the energy of formation: -19.6 kJ per mole of atoms.

Here is MgZr2Co after structural relaxation from Alexandria via LeMat-Bulk. Energies are from PBE-GGA.

```
MgZr2Co
1.0
4.661 0.000 0.000
0.000 4.661 0.000
0.000 0.000 3.447
Mg Zr Co
1 2 1
Cartesian
0.000 0.000 0.000
0.000 2.330 1.723
2.330 0.000 1.723
2.330 2.330 0.000
```

As for the space group: P4/mmm, No. 123. As for the energy of formation: 2.9 kJ per mole of atoms.

Here is MgZrCo3 after structural relaxation from Alexandria via LeMat-Bulk. Energies are from PBE-GGA.

```
MgZrCo3
1.0
4.573 0.000 0.000
0.000 4.573 0.000
0.000 0.000 4.573
Mg Zr Co
1 1 3
Cartesian
0.000 0.000 0.000
2.286 2.286 2.286
0.000 2.286 2.286
2.286 0.000 2.286
2.286 2.286 0.000
```

As for the space group: Pm-3m, No. 221. For the energy above the most stable polymorph in this dataset, the calculation gives 110 kJ/mol of formula units. As for the energy of formation: 107.9 kJ per mole of atoms.

Here is Mg2ZrCo2 after structural relaxation from Alexandria via LeMat-Bulk. Energies are from PBE-GGA.

```
Mg2ZrCo2
1.0
-1.902 1.902 5.752
1.902 -1.902 5.752
1.902 1.902 -5.752
Mg Zr Co
2 1 2
Cartesian
1.902 0.000 2.876
0.000 1.902 2.876
0.000 0.000 0.000
0.000 0.000 4.676
0.000 0.000 6.829
```

As for the space group: I4/mmm, No. 139. For the energy above the most stable polymorph in this dataset, the calculation gives 33 kJ/mol of formula units. As for the energy of formation: 14.1 kJ per mole of atoms.

Here is Mg2ZrCo after structural relaxation from Alexandria via LeMat-Bulk. Energies are from PBE-GGA.

```
Mg2ZrCo
1.0
2.743 -4.840 0.000
2.743 4.840 0.000
0.000 0.000 2.804
Mg Zr Co
2 1 1
Cartesian
1.372 2.420 0.000
1.372 -2.420 0.000
0.000 0.000 1.402
2.743 0.000 1.402
```

As for the space group: Cmmm, No. 65. As for the energy of formation: 25.8 kJ per mole of atoms.

Here is MgZr8Co2 after structural relaxation from Alexandria via LeMat-Bulk. Energies are from PBE-GGA.

```
MgZr8Co2
1.0
6.701 -3.078 0.000
6.701 3.078 0.000
-0.644 0.000 5.744
Mg Zr Co
1 8 2
Cartesian
0.000 0.000 0.000
4.660 1.488 3.444
2.263 0.000 5.010
8.097 1.488 2.300
5.501 0.000 0.602
7.257 0.000 5.142
4.660 -1.488 3.444
10.494 0.000 0.735
8.097 -1.488 2.300
3.325 0.000 1.854
9.432 0.000 3.890
```

As for the space group: C2/m, No. 12. As for the energy of formation: -0.9 kJ per mole of atoms.

Here is MgZr2Co after structural relaxation from Alexandria via LeMat-Bulk. Energies are from PBE-GGA.

```
MgZr2Co
1.0
-1.714 2.465 4.555
1.714 -2.465 4.555
1.714 2.465 -4.555
Mg Zr Co
1 2 1
Cartesian
0.000 0.000 0.000
1.714 0.000 2.671
0.000 2.465 1.885
0.000 0.000 4.555
```

As for the space group: Immm, No. 71. As for the energy of formation: -2.0 kJ per mole of atoms.

Here is Mg2ZrCo after structural relaxation from Alexandria via LeMat-Bulk. Energies are from PBE-GGA.

```
Mg2ZrCo
1.0
-1.533 2.303 5.196
1.533 -2.303 5.196
1.533 2.303 -5.196
Mg Zr Co
2 1 1
Cartesian
0.000 0.000 2.162
0.000 0.000 8.230
0.000 2.303 0.000
1.533 0.000 0.000
```

As for the space group: Immm, No. 71. As for the energy of formation: 3.5 kJ per mole of atoms.

Here is Mg2ZrCo9 after structural relaxation from Alexandria via LeMat-Bulk. Energies are from PBE-GGA.

```
Mg2ZrCo9
1.0
2.403 1.387 7.860
-2.403 1.387 7.860
0.000 -2.775 7.860
Mg Zr Co
2 1 9
Cartesian
0.000 0.000 3.371
0.000 0.000 20.208
0.000 0.000 0.000
-1.223 -0.706 9.834
0.000 0.000 7.908
0.000 -1.412 13.745
-1.223 0.706 13.745
0.000 0.000 11.789
1.223 -0.706 9.834
0.000 1.412 9.834
0.000 0.000 15.671
1.223 0.706 13.745
```

As for the space group: R-3m, No. 166. As for the energy of formation: -7.9 kJ per mole of atoms.

Here is MgZr2Co after structural relaxation from Alexandria via LeMat-Bulk. Energies are from PBE-GGA.

```
MgZr2Co
1.0
3.297 0.000 0.000
0.000 4.202 0.000
-1.646 0.000 5.681
Mg Zr Co
1 2 1
Cartesian
0.000 0.000 0.000
0.000 0.000 3.158
1.649 2.101 1.427
1.645 2.101 3.887
```

As for the space group: Pm, No. 6. As for the energy of formation: 5.9 kJ per mole of atoms.

Here is Mg2ZrCo after structural relaxation from Alexandria via LeMat-Bulk. Energies are from PBE-GGA.

```
Mg2ZrCo
1.0
-1.942 1.942 4.818
1.942 -1.942 4.818
1.942 1.942 -4.818
Mg Zr Co
2 1 1
Cartesian
1.942 0.000 2.409
0.000 1.942 2.409
0.000 0.000 0.000
0.000 0.000 4.818
```

As for the space group: I4/mmm, No. 139. As for the energy of formation: 16.2 kJ per mole of atoms.

Here is MgZrCo after structural relaxation from Alexandria via LeMat-Bulk. Energies are from PBE-GGA.

```
MgZrCo
1.0
3.242 0.000 0.000
-1.621 2.807 0.000
0.000 0.000 6.335
Mg Zr Co
1 1 1
Cartesian
0.000 0.000 0.000
1.621 0.936 2.745
0.000 1.872 4.373
```

As for the space group: P3m1, No. 156. For the energy above the most stable polymorph in this dataset, the calculation gives 95 kJ/mol of formula units. As for the energy of formation: 12.5 kJ per mole of atoms.

Here is MgZr2Co after structural relaxation from Alexandria via LeMat-Bulk. Energies are from PBE-GGA.

```
MgZr2Co
1.0
5.458 -1.628 0.000
5.458 1.628 0.000
-2.064 0.000 4.284
Mg Zr Co
1 2 1
Cartesian
0.000 0.000 0.000
5.157 0.000 2.496
8.052 0.000 1.255
1.470 0.000 3.372
```

As for the space group: Cm, No. 8. As for the energy of formation: -1.8 kJ per mole of atoms.

Here is MgZr2Co after structural relaxation from Alexandria via LeMat-Bulk. Energies are from PBE-GGA.

```
MgZr2Co
1.0
-3.767 3.767 2.853
3.767 -3.767 2.853
3.767 3.767 -2.853
Mg Zr Co
2 4 2
Cartesian
0.000 0.000 0.000
0.000 3.767 1.427
1.883 -1.432 2.140
2.335 1.883 0.713
1.883 5.198 -0.713
1.432 1.883 3.567
3.767 0.000 1.427
0.000 0.000 2.853
```

As for the space group: I-42d, No. 122. As for the energy of formation: 15.3 kJ per mole of atoms.

Here is MgZr2Co after structural relaxation from Alexandria via LeMat-Bulk. Energies are from PBE-GGA.

```
MgZr2Co
1.0
1.683 0.972 8.554
-1.683 0.972 8.554
0.000 -1.944 8.554
Mg Zr Co
1 2 1
Cartesian
0.000 0.000 0.000
0.000 0.000 5.920
0.000 0.000 19.741
0.000 0.000 12.831
```

As for the space group: R-3m, No. 166. As for the energy of formation: 3.4 kJ per mole of atoms.

Here is Mg2ZrCo2 after structural relaxation from Alexandria via LeMat-Bulk. Energies are from PBE-GGA.

```
Mg2ZrCo2
1.0
7.551 0.000 0.000
0.000 7.551 0.000
0.000 0.000 2.786
Mg Zr Co
4 2 4
Cartesian
0.940 2.835 0.000
2.835 6.610 0.000
4.716 0.940 0.000
6.610 4.716 0.000
0.000 0.000 0.000
3.775 3.775 0.000
1.327 5.102 1.393
2.449 1.327 1.393
5.102 6.224 1.393
6.224 2.449 1.393
```

As for the space group: P4/mbm, No. 127. For the energy above the most stable polymorph in this dataset, the calculation gives 50 kJ/mol of formula units. As for the energy of formation: 17.6 kJ per mole of atoms.

Here is MgZr2Co after structural relaxation from Alexandria via LeMat-Bulk. Energies are from PBE-GGA.

```
MgZr2Co
1.0
3.200 0.000 0.000
0.000 3.200 0.000
0.000 0.000 7.461
Mg Zr Co
1 2 1
Cartesian
0.000 0.000 0.000
0.000 0.000 4.454
1.600 1.600 2.301
1.600 1.600 5.848
```

As for the space group: P4mm, No. 99. As for the energy of formation: -7.6 kJ per mole of atoms.

Here is Mg2ZrCo after structural relaxation from Alexandria via LeMat-Bulk. Energies are from PBE-GGA.

```
Mg2ZrCo
1.0
1.605 0.927 9.086
-1.605 0.927 9.086
0.000 -1.853 9.086
Mg Zr Co
2 1 1
Cartesian
0.000 0.000 0.000
0.000 0.000 6.345
0.000 0.000 20.891
0.000 0.000 13.457
```

As for the space group: R3m, No. 160. As for the energy of formation: 8.8 kJ per mole of atoms.